No. 1
Here is crystalline MnTcIr2 at its relaxed geometry from Alexandria via LeMat-Bulk. Energies are from PBE.

Cell lengths 2.694, 2.694, 7.614 Å; angles 90.00, 90.00, 90.00 degrees
Sites, in units of the cell vectors:
1 Tc 0.500 0.500 0.746
2 Ir 0.500 0.500 0.267
3 Ir 0.000 0.000 0.995
4 Mn 0.000 0.000 0.493

The calculation puts the total energy at -9.37 eV/atom. As for the polymorph energy (0 for the lowest one): 2.804 kcal/mol of atoms. Its space-group type is P4mm. As for the crystal system: tetragonal. The value obtained for the formation enthalpy at 0 K is -0.06 eV/atom.


No. 2
Here is crystalline NaTmSeS at its relaxed geometry from Alexandria via LeMat-Bulk. Energies are from PBE.

Cell lengths 4.011, 4.011, 7.220 Å; angles 73.87, 73.87, 60.00 degrees
Sites, in units of the cell vectors:
1 S 0.741 0.741 0.777
2 Na 0.498 0.498 0.507
3 Se 0.258 0.258 0.227
4 Tm 0.004 0.004 0.989

The calculation puts the total energy at -5.12 eV/atom. Its raw formation energy is -1.77 eV per atom. Its space-group type is R3m. As for the crystal system: trigonal.